[1]
# PRhCl2, relaxed, DFT PBE-GGA
data_PRhCl2
_cell_length_a 6.392
_cell_length_b 6.392
_cell_length_c 6.392
_cell_angle_alpha 90.00
_cell_angle_beta 90.00
_cell_angle_gamma 90.00
_space_group_name_H-M_alt 'F m -3 m'
_space_group_IT_number 225
_space_group_name_Hall '-F 4 2 3'
loop_
_atom_site_label
_atom_site_fract_x
_atom_site_fract_y
_atom_site_fract_z
P1 0.000 0.000 0.000
Rh1 0.000 0.000 0.500
Cl1 0.250 0.250 0.250
# **Raw formation energy**: 0.759 eV per atom
# **Spin magnetization**: 0.10 μB/cell
# **Density of states at the Fermi level**: 10.761 states/eV/cell
# **ΔE to the lowest computed polymorph**: 1.4953 eV/atom

=====

[2]
# Sc2NiRuC, relaxed, DFT PBE-GGA
data_Sc2NiRuC
_cell_length_a 4.504
_cell_length_b 4.504
_cell_length_c 3.824
_cell_angle_alpha 90.00
_cell_angle_beta 90.00
_cell_angle_gamma 90.00
_space_group_name_H-M_alt 'P 4/m m m'
_space_group_IT_number 123
_space_group_name_Hall '-P 4 2'
loop_
_atom_site_label
_atom_site_fract_x
_atom_site_fract_y
_atom_site_fract_z
Sc1 0.000 0.500 0.000
Ni1 0.000 0.000 0.500
Ru1 0.500 0.500 0.500
C1 0.500 0.500 0.000
# **Spin magnetization**: 0.00 μB/cell
# **Density of states at the Fermi level**: 2.633 states/eV/cell
# **Energy of formation**: -0.3360 eV per atom

=====

[3]
# Cs2RbSr2F7, relaxed, DFT PBE-GGA
data_Cs2RbSr2F7
_cell_length_a 6.780
_cell_length_b 6.780
_cell_length_c 12.723
_cell_angle_alpha 90.00
_cell_angle_beta 105.44
_cell_angle_gamma 90.00
_space_group_name_H-M_alt 'C 1 2/m 1'
_space_group_IT_number 12
_space_group_name_Hall '-C 2y'
loop_
_atom_site_label
_atom_site_fract_x
_atom_site_fract_y
_atom_site_fract_z
Cs1 0.187 0.000 0.374
Rb1 0.000 0.000 0.000
Sr1 0.097 0.500 0.195
F1 0.000 0.500 0.000
F2 0.157 0.250 0.811
F3 0.195 0.500 0.392
# **Raw formation energy**: -3.282 eV per atom
# **Spin magnetization**: 0.54 μB/cell
# **Density of states at the Fermi level**: 0.000 states/eV/cell

=====

[4]
# Li9Cd2Ag, relaxed, DFT PBE-GGA
data_Li9Cd2Ag
_cell_length_a 4.811
_cell_length_b 5.270
_cell_length_c 9.436
_cell_angle_alpha 74.40
_cell_angle_beta 79.71
_cell_angle_gamma 71.21
_space_group_name_H-M_alt 'P -1'
_space_group_IT_number 2
_space_group_name_Hall '-P 1'
loop_
_atom_site_label
_atom_site_fract_x
_atom_site_fract_y
_atom_site_fract_z
Li1 0.000 0.000 0.000
Li2 0.005 0.650 0.344
Li3 0.251 0.741 0.749
Li4 0.265 0.074 0.413
Li5 0.499 0.182 0.831
Cd1 0.250 0.405 0.091
Ag1 0.500 0.500 0.500
# **Spin magnetization**: 0.00 μB/cell
# **Density of states at the Fermi level**: 5.134 states/eV/cell
# **Energy of formation**: -0.1482 eV per atom

=====

[5]
# AlGeP, relaxed, DFT PBE-GGA
data_AlGeP
_cell_length_a 5.320
_cell_length_b 13.258
_cell_length_c 3.890
_cell_angle_alpha 90.00
_cell_angle_beta 104.55
_cell_angle_gamma 90.00
_space_group_name_H-M_alt 'C 1 c 1'
_space_group_IT_number 9
_space_group_name_Hall 'C -2yc'
loop_
_atom_site_label
_atom_site_fract_x
_atom_site_fract_y
_atom_site_fract_z
Al1 0.000 0.175 0.000
Ge1 0.125 0.444 0.264
P1 0.273 0.172 0.588
# **Spin magnetization**: 0.00 μB/cell
# **Energy of formation**: -0.2177 eV per atom
# **ΔE to the lowest computed polymorph**: 0.1294 eV/atom

=====

[6]
# SrMgCuHg, relaxed, DFT PBE-GGA
data_SrMgCuHg
_cell_length_a 7.328
_cell_length_b 7.328
_cell_length_c 7.328
_cell_angle_alpha 90.00
_cell_angle_beta 90.00
_cell_angle_gamma 90.00
_space_group_name_H-M_alt 'F -4 3 m'
_space_group_IT_number 216
_space_group_name_Hall 'F -4 2 3'
loop_
_atom_site_label
_atom_site_fract_x
_atom_site_fract_y
_atom_site_fract_z
Sr1 0.000 0.000 0.000
Mg1 0.000 0.000 0.500
Cu1 0.250 0.250 0.250
Hg1 0.250 0.250 0.750
# **Spin magnetization**: 0.00 μB/cell
# **Density of states at the Fermi level**: 12.857 states/eV/cell
# **Energy of formation**: -0.1365 eV per atom

=====

[7]
# Li4In2Hg, relaxed, DFT PBE-GGA
data_Li4In2Hg
_cell_length_a 6.147
_cell_length_b 9.460
_cell_length_c 5.428
_cell_angle_alpha 90.00
_cell_angle_beta 116.10
_cell_angle_gamma 90.00
_space_group_name_H-M_alt 'P 1 21/c 1'
_space_group_IT_number 14
_space_group_name_Hall '-P 2ybc'
loop_
_atom_site_label
_atom_site_fract_x
_atom_site_fract_y
_atom_site_fract_z
Li1 0.000 0.249 0.003
Li2 0.500 0.249 0.746
In1 0.200 0.000 0.351
Hg1 0.500 0.000 0.000
# **Spin magnetization**: 0.00 μB/cell
# **Density of states at the Fermi level**: 5.283 states/eV/cell
# **Energy of formation**: -0.1553 eV per atom
# **ΔE to the lowest computed polymorph**: 0.0000 eV/atom

=====

[8]
# BaMgGe2S6, relaxed, DFT PBE-GGA
data_BaMgGe2S6
_cell_length_a 12.727
_cell_length_b 13.468
_cell_length_c 6.827
_cell_angle_alpha 90.00
_cell_angle_beta 107.85
_cell_angle_gamma 90.00
_space_group_name_H-M_alt 'C 1 2/c 1'
_space_group_IT_number 15
_space_group_name_Hall '-C 2yc'
loop_
_atom_site_label
_atom_site_fract_x
_atom_site_fract_y
_atom_site_fract_z
Ba1 0.000 0.117 0.250
Mg1 0.000 0.246 0.750
Ge1 0.200 0.426 0.199
S1 0.116 0.089 0.721
S2 0.126 0.280 0.086
S3 0.141 0.442 0.487
# **Raw formation energy**: -0.821 eV per atom
# **Spin magnetization**: 0.00 μB/cell
# **Density of states at the Fermi level**: 0.000 states/eV/cell